NaMn2Tl3F9 | PBE with a Hubbard U | optimized geometry

## Properties
**DOS at the Fermi energy**: 2.77 states/eV/f.u.
**Calculated volume**: 15.852 Å³/atom
**Total DFT energy (no corrections)**: -4.9809 eV/atom

a b c (Å): 6.0653 6.0653 7.4637
angles (deg): 90.00 90.00 120.00
Space group P-3m1 (No. 164)
Asymmetric unit:
Na  0.0000  0.0000  0.0000 x1
Mn  0.3333  0.6667  0.6575 x2
Tl  0.0000  0.0000  0.5000 x1
Tl  0.3333  0.6667  0.1423 x2
F  0.0000  0.5000  0.5000 x3
F  0.1762  0.3525  0.8140 x6